Entry 1:
The following is a DFT calculation (SCAN) of a PBEsol-optimized structure of ZrTaOs2.

Unit cell a=2.809 b=2.809 c=9.059 alpha=90.00 beta=90.00 gamma=113.07
Element x y z (fractional)
Os  0.000  0.000  0.994
Os  0.500  0.500  0.749
Ta  0.000  0.000  0.516
Zr  0.500  0.500  0.241

Computed properties:
Fermi-level density of states   1.19 states/eV/atom
Energy of formation from the pure elements   261 meV/atom

***

Entry 2:
The following is a DFT calculation (SCAN) of a PBEsol-optimized structure of Zr3TaOs.

Unit cell a=4.880 b=4.880 c=4.880 alpha=90.00 beta=90.00 gamma=90.00
Element x y z (fractional)
Os  0.500  0.500  0.500
Zr  0.000  0.500  0.000
Zr  0.000  0.000  0.500
Zr  0.500  0.000  0.000
Ta  0.000  0.000  0.000

Computed properties:
Fermi-level density of states   1.01 states/eV/atom
Energy of formation from the pure elements   1460 meV/atom

***

> What is the Fermi-level density of states in the first record?

1.19 states/eV/atom

***

> Which of these has the highest energy of formation from the pure elements?

Zr3TaOs

***

> What is the formula in the second record?

Zr3TaOs